BaCa2Sc after structural relaxation, computed with PBE.

```
BaCa2Sc
1.0
-0.909 6.977 -2.009
-2.746 6.589 1.608
4.053 4.069 2.495
Ba Ca Sc
1 2 1
direct
0.250 0.250 0.250
0.475 0.475 0.525
0.025 0.025 0.975
0.750 0.750 0.750
```

## Properties
Total magnetization: 0.0 Bohr magnetons per cell
Space-group type: C2/m (12)
Density of states at the Fermi level: 6.62 states/eV/f.u.
Final energy: -0.2088 Ry/atom
Formation energy from the elements: 0.22 eV per atom